# PBE Li2SbW, optimized geometry
# - Magnetization: 0.0 μB/f.u.
# - Formation energy from raw total energies: 0.672 eV/atom
# - Total energy: -4.55 eV per atom
data_Li2SbW
_chemical_formula_sum 'Li4 Sb2 W2'
_symmetry_space_group_name_H-M 'P 1'
_symmetry_Int_Tables_number 1
_cell_length_a 7.331
_cell_length_b 7.331
_cell_length_c 5.814
_cell_angle_alpha 50.92
_cell_angle_beta 50.92
_cell_angle_gamma 90.00
loop_
_symmetry_equiv_pos_as_xyz
'x,y,z'
loop_
_atom_site_label
_atom_site_type_symbol
_atom_site_fract_x
_atom_site_fract_y
_atom_site_fract_z
W1 W 0.750 0.250 0.500
Li1 Li 0.875 0.868 0.750
Li2 Li 0.618 0.125 0.250
Li3 Li 0.375 0.382 0.750
Sb1 Sb 0.500 0.500 0.000
Li4 Li 0.132 0.625 0.250
Sb2 Sb 0.250 0.750 0.500
W2 W 0.000 0.000 0.000